(1)
Computed, not measured: Ta2CrAsPt after structural relaxation at the PBE level of DFT.

## Properties
mass density: 9.9 g cm⁻³
crystal system: tetragonal
ΔE_f: 1.12 eV per atom
total moment: 0.580 μB per atom
symmetry: No. 123

Cell lengths 4.876, 4.876, 4.821 Å; angles 90.00, 90.00, 90.00 degrees
Positions (direct):
Ta1 0.000 0.500 0.000
Ta2 0.500 0.000 0.000
Cr1 0.000 0.000 0.500
As1 0.500 0.500 0.500
Pt1 0.000 0.000 0.000

***

(2)
Computed, not measured: Pu2CrAs4Rh3 after structural relaxation at the PBE level of DFT.

## Properties
mass density: 10.4 g cm⁻³
crystal system: tetragonal
ΔE_f: -0.61 eV per atom
total moment: 1.310 μB per atom
symmetry: No. 115

Cell lengths 4.226, 4.226, 10.240 Å; angles 90.00, 90.00, 90.00 degrees
Positions (direct):
Pu1 0.000 0.500 0.242
Pu2 0.500 0.000 0.758
Cr1 0.000 0.000 0.500
As1 0.000 0.000 0.000
As2 0.000 0.500 0.636
As3 0.500 0.000 0.364
As4 0.500 0.500 0.000
Rh1 0.000 0.500 0.876
Rh2 0.500 0.000 0.124
Rh3 0.500 0.500 0.500

***

(3)
Computed, not measured: Rb2CrAs after structural relaxation at the PBE level of DFT.

## Properties
mass density: 2.3 g cm⁻³
crystal system: tetragonal
ΔE_f: 0.15 eV per atom
total moment: 1.072 μB per atom
symmetry: No. 122

Cell lengths 9.863, 9.863, 9.863 Å; angles 93.30, 93.30, 152.24 degrees
Positions (direct):
Rb1 0.375 0.170 0.295
Rb2 0.830 0.125 0.205
Rb3 0.875 0.080 0.705
Rb4 0.920 0.625 0.795
Cr1 0.000 0.000 0.000
Cr2 0.750 0.250 0.500
As1 0.250 0.750 0.500
As2 0.500 0.500 0.000

***

(4)
Computed, not measured: RbCr3As after structural relaxation at the PBE level of DFT.

## Properties
mass density: 3.9 g cm⁻³
crystal system: cubic
ΔE_f: 0.88 eV per atom
total moment: 2.814 μB per atom
symmetry: No. 221

Cell lengths 5.146, 5.146, 5.146 Å; angles 90.00, 90.00, 90.00 degrees
Positions (direct):
Rb1 0.000 0.000 0.000
Cr1 0.000 0.500 0.500
Cr2 0.500 0.000 0.500
Cr3 0.500 0.500 0.000
As1 0.500 0.500 0.500

***

(5)
Computed, not measured: RbCr2As after structural relaxation at the PBE level of DFT.

## Properties
mass density: 3.1 g cm⁻³
crystal system: tetragonal
ΔE_f: 0.57 eV per atom
total moment: 2.295 μB per atom
symmetry: No. 141

Cell lengths 9.101, 9.101, 9.101 Å; angles 142.39, 142.39, 54.24 degrees
Positions (direct):
Rb1 0.375 0.625 0.750
Rb2 0.625 0.375 0.250
Cr1 0.000 0.000 0.000
Cr2 0.000 0.000 0.500
Cr3 0.000 0.500 0.000
Cr4 0.500 0.000 0.500
As1 0.125 0.875 0.250
As2 0.875 0.125 0.750

***

(6)
Computed, not measured: RbCr3As after structural relaxation at the PBE level of DFT.

## Properties
mass density: 3.2 g cm⁻³
crystal system: cubic
ΔE_f: 2.46 eV per atom
total moment: 3.062 μB per atom
symmetry: No. 221

Cell lengths 5.449, 5.449, 5.449 Å; angles 90.00, 90.00, 90.00 degrees
Positions (direct):
Rb1 0.000 0.000 0.000
Cr1 0.000 0.000 0.500
Cr2 0.000 0.500 0.000
Cr3 0.500 0.000 0.000
As1 0.500 0.500 0.500

***

(7)
Computed, not measured: RbCr2SbAs after structural relaxation at the PBE level of DFT.

## Properties
mass density: 3.6 g cm⁻³
crystal system: tetragonal
total moment: 1.930 μB per atom
symmetry: No. 123
energy relative to the elements, uncorrected: 2.139 eV per atom

Cell lengths 5.399, 5.399, 6.057 Å; angles 90.00, 90.00, 90.00 degrees
Positions (direct):
Rb1 0.000 0.000 0.000
Cr1 0.000 0.500 0.000
Cr2 0.500 0.000 0.000
Sb1 0.000 0.000 0.500
As1 0.500 0.500 0.500

***

(8)
Computed, not measured: RbCrAsSe2 after structural relaxation at the PBE level of DFT.

## Properties
mass density: 5.2 g cm⁻³
crystal system: tetragonal
total moment: 0.000 μB per atom
symmetry: No. 123
energy relative to the elements, uncorrected: -0.126 eV per atom

Cell lengths 5.013, 5.013, 4.729 Å; angles 90.00, 90.00, 90.00 degrees
Positions (direct):
Rb1 0.000 0.000 0.000
Cr1 0.500 0.500 0.500
As1 0.500 0.500 0.000
Se1 0.000 0.500 0.500
Se2 0.500 0.000 0.500